# 1
Er3Ge2Pd6 after structural relaxation, computed with PBE.

The formation energy comes out at -0.802 eV per atom.

```
data_Er3Ge2Pd6
_chemical_formula_sum 'Er6 Ge4 Pd12'
_symmetry_space_group_name_H-M 'P 1'
_symmetry_Int_Tables_number 1
_symmetry_space_group_name_Hall 'P 1'
_cell_length_a 8.1462
_cell_length_b 8.1462
_cell_length_c 8.1462
_cell_angle_alpha 109.47
_cell_angle_beta 109.47
_cell_angle_gamma 109.47
loop_
_atom_site_label
_atom_site_type_symbol
_atom_site_fract_x
_atom_site_fract_y
_atom_site_fract_z
Er1 Er 0.0000 0.2885 0.2885
Er2 Er 0.0000 0.7115 0.7115
Er3 Er 0.2885 0.0000 0.2885
Er4 Er 0.2885 0.2885 0.0000
Er5 Er 0.7115 0.0000 0.7115
Er6 Er 0.7115 0.7115 0.0000
Ge1 Ge 0.0000 0.0000 0.5000
Ge2 Ge 0.0000 0.5000 0.0000
Ge3 Ge 0.5000 0.0000 0.0000
Ge4 Ge 0.5000 0.5000 0.5000
Pd1 Pd 0.0000 0.3297 0.6703
Pd2 Pd 0.0000 0.6703 0.3297
Pd3 Pd 0.3297 0.0000 0.6703
Pd4 Pd 0.3297 0.3297 0.6594
Pd5 Pd 0.3297 0.6594 0.3297
Pd6 Pd 0.3297 0.6703 0.0000
Pd7 Pd 0.3406 0.6703 0.6703
Pd8 Pd 0.6594 0.3297 0.3297
Pd9 Pd 0.6703 0.0000 0.3297
Pd10 Pd 0.6703 0.3297 0.0000
Pd11 Pd 0.6703 0.3406 0.6703
Pd12 Pd 0.6703 0.6703 0.3406
```

# 2
ErGePd2 after structural relaxation, computed with PBE.

The formation energy comes out at -0.701 eV per atom.

```
data_ErGePd2
_chemical_formula_sum 'Er1 Ge1 Pd2'
_symmetry_space_group_name_H-M 'P 1'
_symmetry_Int_Tables_number 1
_symmetry_space_group_name_Hall 'P 1'
_cell_length_a 4.3406
_cell_length_b 4.3406
_cell_length_c 3.8436
_cell_angle_alpha 90.00
_cell_angle_beta 90.00
_cell_angle_gamma 90.00
loop_
_atom_site_label
_atom_site_type_symbol
_atom_site_fract_x
_atom_site_fract_y
_atom_site_fract_z
Er1 Er 0.0000 0.0000 0.0000
Ge1 Ge 0.5000 0.5000 0.0000
Pd1 Pd 0.0000 0.5000 0.5000
Pd2 Pd 0.5000 0.0000 0.5000
```

# 3
ErGePd2 after structural relaxation, computed with PBE.

The formation energy comes out at -0.695 eV per atom.

```
data_ErGePd2
_chemical_formula_sum 'Er1 Ge1 Pd2'
_symmetry_space_group_name_H-M 'P 1'
_symmetry_Int_Tables_number 1
_symmetry_space_group_name_Hall 'P 1'
_cell_length_a 3.3883
_cell_length_b 4.1827
_cell_length_c 5.5215
_cell_angle_alpha 90.00
_cell_angle_beta 90.00
_cell_angle_gamma 90.00
loop_
_atom_site_label
_atom_site_type_symbol
_atom_site_fract_x
_atom_site_fract_y
_atom_site_fract_z
Er1 Er 0.0000 0.0000 0.0000
Ge1 Ge 0.5000 0.0000 0.5000
Pd1 Pd 0.5000 0.5000 0.2472
Pd2 Pd 0.5000 0.5000 0.7528
```

Please write out number 1 again, unchanged.
Er3Ge2Pd6 after structural relaxation, computed with PBE.

The formation energy comes out at -0.802 eV per atom.

```
data_Er3Ge2Pd6
_chemical_formula_sum 'Er6 Ge4 Pd12'
_symmetry_space_group_name_H-M 'P 1'
_symmetry_Int_Tables_number 1
_symmetry_space_group_name_Hall 'P 1'
_cell_length_a 8.1462
_cell_length_b 8.1462
_cell_length_c 8.1462
_cell_angle_alpha 109.47
_cell_angle_beta 109.47
_cell_angle_gamma 109.47
loop_
_atom_site_label
_atom_site_type_symbol
_atom_site_fract_x
_atom_site_fract_y
_atom_site_fract_z
Er1 Er 0.0000 0.2885 0.2885
Er2 Er 0.0000 0.7115 0.7115
Er3 Er 0.2885 0.0000 0.2885
Er4 Er 0.2885 0.2885 0.0000
Er5 Er 0.7115 0.0000 0.7115
Er6 Er 0.7115 0.7115 0.0000
Ge1 Ge 0.0000 0.0000 0.5000
Ge2 Ge 0.0000 0.5000 0.0000
Ge3 Ge 0.5000 0.0000 0.0000
Ge4 Ge 0.5000 0.5000 0.5000
Pd1 Pd 0.0000 0.3297 0.6703
Pd2 Pd 0.0000 0.6703 0.3297
Pd3 Pd 0.3297 0.0000 0.6703
Pd4 Pd 0.3297 0.3297 0.6594
Pd5 Pd 0.3297 0.6594 0.3297
Pd6 Pd 0.3297 0.6703 0.0000
Pd7 Pd 0.3406 0.6703 0.6703
Pd8 Pd 0.6594 0.3297 0.3297
Pd9 Pd 0.6703 0.0000 0.3297
Pd10 Pd 0.6703 0.3297 0.0000
Pd11 Pd 0.6703 0.3406 0.6703
Pd12 Pd 0.6703 0.6703 0.3406
```